(1)
# Be2IrOs

A geometry-optimized Be2IrOs structure (PBE, Alexandria).

Results
DFT formation energy	0.13	eV/atom
SG	F-43m

Cell lengths 4.0991, 4.0991, 4.0991 Å; angles 60.00, 60.00, 60.00 degrees
Sites, in units of the cell vectors:
Os 0.7500 0.7500 0.7500
Be 0.2500 0.2500 0.2500
Be 0.0000 0.0000 0.0000
Ir 0.5000 0.5000 0.5000


(2)
# BeIrOs2

A geometry-optimized BeIrOs2 structure (PBE, Alexandria).

Results
DFT formation energy	0.15	eV/atom
SG	I4/mmm

Cell lengths 4.7046, 4.7046, 4.7046 Å; angles 133.71, 133.71, 67.55 degrees
Sites, in units of the cell vectors:
Ir 0.7500 0.2500 0.5000
Os 0.0000 0.0000 0.0000
Be 0.2500 0.7500 0.5000
Os 0.5000 0.5000 0.0000


(3)
# BeIrOs2

A geometry-optimized BeIrOs2 structure (PBE, Alexandria).

Results
DFT formation energy	-0.15	eV/atom
SG	P4mm

Cell lengths 2.7768, 2.7768, 6.6010 Å; angles 90.00, 90.00, 90.00 degrees
Sites, in units of the cell vectors:
Os 0.5000 0.5000 0.2785
Os 0.0000 0.0000 0.0052
Be 0.0000 0.0000 0.5055
Ir 0.5000 0.5000 0.7108


(4)
# Be2IrOs

A geometry-optimized Be2IrOs structure (PBE, Alexandria).

Results
DFT formation energy	0.25	eV/atom
SG	Cmm2

Cell lengths 2.6549, 2.6549, 7.9495 Å; angles 90.00, 90.00, 117.70 degrees
Sites, in units of the cell vectors:
Ir 0.0000 0.0000 0.4727
Os 0.5000 0.5000 0.7746
Be 0.5000 0.5000 0.2424
Be 0.0000 0.0000 0.0102


(5)
# Be2IrOs

A geometry-optimized Be2IrOs structure (PBE, Alexandria).

Results
DFT formation energy	-0.28	eV/atom
SG	Fm-3m

Cell lengths 3.9654, 3.9654, 3.9654 Å; angles 60.00, 60.00, 60.00 degrees
Sites, in units of the cell vectors:
Be 0.2500 0.2500 0.2500
Ir 0.5000 0.5000 0.5000
Os 0.0000 0.0000 0.0000
Be 0.7500 0.7500 0.7500


(6)
# Be2IrOs

A geometry-optimized Be2IrOs structure (PBE, Alexandria).

Results
DFT formation energy	-0.27	eV/atom
SG	Pm

Cell lengths 3.7496, 2.7989, 4.4132 Å; angles 71.49, 90.00, 90.00 degrees
Sites, in units of the cell vectors:
Os 0.5000 0.7720 0.8343
Be 0.0000 0.2008 0.9697
Ir 0.0000 0.4784 0.4152
Be 0.5000 0.0488 0.2808